The following is a DFT calculation (PBE) of a geometry-optimized Li6Zn2Cu structure.

The value obtained for the energy is -0.1545 Ry/atom. As for the symmetry: C2/m, No. 12. The total moment comes out at 0.000 μB per cell.

Cell: 6.8993 6.8993 5.1584 Å, 109.11 109.11 36.84°
Sites, in units of the cell vectors:
Li (0.0999, 0.0999, 0.0508)
Li (0.2112, 0.2112, 0.5919)
Li (0.3442, 0.3442, 0.1610)
Li (0.6558, 0.6558, 0.8390)
Li (0.7888, 0.7888, 0.4081)
Li (0.9001, 0.9001, 0.9492)
Zn (0.4450, 0.4450, 0.7045)
Zn (0.5550, 0.5550, 0.2955)
Cu (0.0000, 0.0000, 0.5000)

The following is a DFT calculation (PBE) of a geometry-optimized HgMo3Pd structure.

The value obtained for the energy is -0.3630 Ry/atom. As for the symmetry: Pm-3m, No. 221. The total moment comes out at 0.000 μB per cell.

Cell: 4.8920 4.8920 4.8920 Å, 90.00 90.00 90.00°
Sites, in units of the cell vectors:
Hg (0.0000, 0.0000, 0.0000)
Mo (0.0000, 0.0000, 0.5000)
Mo (0.0000, 0.5000, 0.0000)
Mo (0.5000, 0.0000, 0.0000)
Pd (0.5000, 0.5000, 0.5000)

- Which of these has the highest energy?
  Li6Zn2Cu

- Among the records above, which one has the highest energy?
  Li6Zn2Cu

- What is the total moment in the first record?
  0.000 μB per cell